{
  "formula": "PrNd2Dy3P6",
  "functional": "PBE-GGA",
  "state": "relaxed",
  "lattice": [[7.092, 0.000, 0.001], [-3.545, 6.143, 0.001], [-1.182, -2.047, 6.683]],
  "species": ["Nd", "Nd", "Dy", "Dy", "Dy", "P", "P", "P", "P", "P", "P", "Pr"],
  "frac_coords": [[0.667, 0.333, 0.000], [0.333, 0.667, 0.000], [0.833, 0.167, 0.500], [0.167, 0.833, 0.500], [0.500, 0.500, 0.500], [0.421, 0.087, 0.260], [0.248, 0.248, 0.740], [0.579, 0.913, 0.740], [0.752, 0.752, 0.260], [0.087, 0.421, 0.260], [0.913, 0.579, 0.740], [0.000, 0.000, 0.000]],
  "volume_a3_per_cell": 291.2,
  "magmom_total_mub_per_cell": 0.000,
  "density_g_cm3": 6.29,
  "delta_e_f_mev_per_atom": -1564
}



{
  "formula": "AcTl3In",
  "functional": "PBE-GGA",
  "state": "relaxed",
  "lattice": [[-0.950, 1.778, -2.943], [9.153, -4.518, -5.683], [-4.650, -6.425, -2.381]],
  "species": ["Tl", "Tl", "Tl", "Tl", "Tl", "Tl", "In", "In", "Ac", "Ac"],
  "frac_coords": [[0.500, 0.400, 0.614], [0.500, 0.600, 0.386], [0.500, 0.900, 0.386], [0.500, 0.100, 0.614], [0.500, 0.000, 0.000], [0.500, 0.500, 0.000], [0.500, 0.250, 0.291], [0.500, 0.750, 0.709], [0.000, 0.750, 0.074], [0.000, 0.250, 0.926]],
  "volume_a3_per_cell": 345.1,
  "magmom_total_mub_per_cell": 0.000,
  "density_g_cm3": 9.19,
  "delta_e_f_mev_per_atom": -19,
  "relative_energy_mev_per_atom": 178
}



{
  "formula": "Pm8Sm2Ho",
  "functional": "PBE-GGA",
  "state": "relaxed",
  "lattice": [[4.967, 0.000, -1.323], [-0.533, 7.864, -2.002], [-0.102, -0.082, 9.606]],
  "species": ["Pm", "Pm", "Pm", "Pm", "Pm", "Pm", "Pm", "Pm", "Sm", "Sm", "Ho"],
  "frac_coords": [[0.409, 0.547, 0.819], [0.319, 0.090, 0.637], [0.591, 0.453, 0.181], [0.046, 0.729, 0.091], [0.681, 0.910, 0.363], [0.136, 0.181, 0.272], [0.864, 0.819, 0.728], [0.954, 0.271, 0.909], [0.773, 0.364, 0.546], [0.227, 0.636, 0.454], [0.500, 0.000, 0.000]],
  "volume_a3_per_cell": 373.3,
  "magmom_total_mub_per_cell": 0.000,
  "density_g_cm3": 7.23,
  "delta_e_f_mev_per_atom": 14,
  "relative_energy_mev_per_atom": 0
}



{
  "formula": "MnSnMoP",
  "functional": "PBE-GGA",
  "state": "relaxed",
  "lattice": [[-4.104, -4.144, -3.021], [-1.161, -1.098, 3.082], [-2.893, 5.214, 0.768]],
  "species": ["Mo", "Mo", "P", "P", "Sn", "Sn", "Mn", "Mn"],
  "frac_coords": [[0.484, 0.500, 0.716], [0.484, 0.000, 0.216], [0.706, 0.000, 0.623], [0.706, 0.500, 0.123], [0.143, 0.500, 0.936], [0.143, 0.000, 0.436], [0.827, 0.000, 0.997], [0.827, 0.500, 0.497]],
  "volume_a3_per_cell": 130.5,
  "magmom_total_mub_per_cell": 0.000,
  "density_g_cm3": 7.65,
  "delta_e_f_mev_per_atom": -55,
  "relative_energy_mev_per_atom": 156
}



{
  "formula": "LiY4S4",
  "functional": "PBE-GGA",
  "state": "relaxed",
  "lattice": [[5.075, 0.000, 2.035], [2.491, 6.080, 1.134], [0.274, -0.110, 6.664]],
  "species": ["S", "S", "S", "S", "Y", "Y", "Y", "Y", "Li"],
  "frac_coords": [[0.905, 0.387, 0.803], [0.707, 0.198, 0.388], [0.095, 0.613, 0.197], [0.293, 0.802, 0.612], [0.401, 0.398, 0.801], [0.800, 0.800, 0.600], [0.599, 0.602, 0.199], [0.200, 0.200, 0.400], [0.000, 0.000, 0.000]],
  "volume_a3_per_cell": 202.3,
  "magmom_total_mub_per_cell": 0.000,
  "density_g_cm3": 4.03,
  "e_form_raw_mev_per_atom": -1692
}



{
  "formula": "HgTeBr2",
  "functional": "PBE-GGA",
  "state": "relaxed",
  "lattice": [[3.941, 0.000, 0.000], [0.000, 7.172, 0.000], [0.000, 0.000, 4.428]],
  "species": ["Br", "Br", "Hg", "Te"],
  "frac_coords": [[0.000, 0.000, 0.000], [0.500, 0.500, 0.000], [0.500, 0.000, 0.500], [0.000, 0.500, 0.500]],
  "volume_a3_per_cell": 125.2,
  "magmom_total_mub_per_cell": 0.000,
  "density_g_cm3": 6.47,
  "e_form_raw_mev_per_atom": 35,
  "relative_energy_mev_per_atom": 245
}



{
  "formula": "NaSmAg2I6",
  "functional": "PBE-GGA",
  "state": "relaxed",
  "lattice": [[7.915, 0.000, -0.003], [-3.957, 6.852, -0.001], [-3.957, -2.285, 7.490]],
  "species": ["I", "I", "I", "I", "I", "I", "Na", "Sm", "Ag", "Ag"],
  "frac_coords": [[0.848, 0.592, 0.724], [0.145, 0.404, 0.237], [0.847, 0.740, 0.236], [0.510, 0.105, 0.236], [0.483, 0.890, 0.724], [0.146, 0.255, 0.724], [0.996, 0.998, 0.980], [0.997, 0.498, 0.480], [0.478, 0.239, 0.703], [0.516, 0.757, 0.259]],
  "volume_a3_per_cell": 406.1,
  "magmom_total_mub_per_cell": 0.000,
  "density_g_cm3": 4.70,
  "e_form_raw_mev_per_atom": -875
}



{
  "formula": "PaGePtO",
  "functional": "PBE-GGA",
  "state": "relaxed",
  "lattice": [[-2.557, 2.592, 1.603], [-2.273, -3.015, 1.251], [4.229, -0.234, 7.122]],
  "species": ["Ge", "Ge", "Pa", "Pa", "O", "O", "Pt", "Pt"],
  "frac_coords": [[0.500, 0.000, 0.194], [0.000, 0.500, 0.806], [0.500, 0.000, 0.658], [0.000, 0.500, 0.342], [0.500, 0.500, 0.500], [0.000, 0.000, 0.500], [0.000, 0.000, 0.000], [0.500, 0.500, 0.000]],
  "volume_a3_per_cell": 131.1,
  "magmom_total_mub_per_cell": 0.000,
  "density_g_cm3": 13.04,
  "e_form_raw_mev_per_atom": -1722
}